Sr6Bi2O11: relaxed, PBE.

E_form (uncorrected): -2.061 eV per atom
Theoretical density: 5.347 Mg/m³

Cell: 8.7327 8.7327 9.1188 Å, 90.00 90.00 90.00°
With the nearest neighbours (Å) after each atom.
Fractional coordinates of all 38 atoms:
Sr 0.2755 0.7755 0.7888  4 O 2.55-2.64
Sr 0.2755 0.2245 0.7888  4 O 2.55-2.64
Sr 0.2245 0.2755 0.2112  4 O 2.55-2.64
Sr 0.2245 0.7245 0.2112  4 O 2.55-2.64
Sr 0.5000 0.5000 0.5000  6 O 2.46-2.56
Sr 0.7245 0.2245 0.7888  4 O 2.55-2.64
Sr 0.5000 0.0000 0.0630  5 O 2.27-2.34
Sr 0.7245 0.7755 0.7888  4 O 2.55-2.64
Sr 0.7755 0.7245 0.2112  4 O 2.55-2.64
Sr 0.7755 0.2755 0.2112  4 O 2.55-2.64
Sr 0.0000 0.0000 0.5000  6 O 2.46-2.56
Sr 0.0000 0.5000 0.9370  5 O 2.27-2.34
Bi 0.0000 0.0000 0.0000  6 O 2.10-2.16
Bi 0.5000 0.0000 0.5374  5 O 2.05-2.12
Bi 0.5000 0.5000 0.0000  6 O 2.10-2.16
Bi 0.0000 0.5000 0.4626  5 O 2.05-2.12
O 0.2540 0.5000 0.0198  1 Bi 2.16, 1 Sr 2.34
O 0.5000 0.7460 0.9802  1 Bi 2.16, 1 Sr 2.34
O 0.2699 0.0000 0.6104  1 Bi 2.12
O 0.2301 0.5000 0.3896  1 Bi 2.12
O 0.5000 0.2301 0.6104  1 Bi 2.12
O 0.0000 0.7540 0.0198  1 Bi 2.16, 1 Sr 2.34
O 0.7540 0.0000 0.9802  1 Bi 2.16, 1 Sr 2.34
O 0.5000 0.5000 0.2298  1 Bi 2.10
O 0.5000 0.5000 0.7702  1 Bi 2.10
O 0.2460 0.0000 0.9802  1 Bi 2.16, 1 Sr 2.34
O 0.0000 0.2460 0.0198  1 Bi 2.16, 1 Sr 2.34
O 0.5000 0.7699 0.6104  1 Bi 2.12
O 0.7699 0.5000 0.3896  1 Bi 2.12
O 0.5000 0.0000 0.3123  1 Bi 2.05, 1 Sr 2.27
O 0.0000 0.5000 0.6877  1 Bi 2.05, 1 Sr 2.27
O 0.7301 0.0000 0.6104  1 Bi 2.12
O 0.0000 0.7301 0.3896  1 Bi 2.12
O 0.5000 0.2540 0.9802  1 Bi 2.16, 1 Sr 2.34
O 0.0000 0.0000 0.2298  1 Bi 2.10
O 0.0000 0.0000 0.7702  1 Bi 2.10
O 0.7460 0.5000 0.0198  1 Bi 2.16, 1 Sr 2.34
O 0.0000 0.2699 0.3896  1 Bi 2.12